# 1
## Ba2TiFeO6 (GGA-PBEsol)

Data for crystalline Ba2TiFeO6 at its relaxed geometry.

Geometry as CIF:
```
data_Ba2TiFeO6
_cell_length_a 5.6247
_cell_length_b 5.6247
_cell_length_c 13.7181
_cell_angle_alpha 90.00
_cell_angle_beta 90.00
_cell_angle_gamma 120.00
_space_group_name_H-M_alt 'P 3 m 1'
_space_group_IT_number 156
loop_
_space_group_symop_operation_xyz
'x,y,z'
'-y,x-y,z'
'-x+y,-x,z'
'-y,-x,z'
'-x+y,y,z'
'x,x-y,z'
loop_
_atom_site_label
_atom_site_type_symbol
_atom_site_fract_x
_atom_site_fract_y
_atom_site_fract_z
Ba1 Ba 0.0000 0.0000 0.0000
Ba2 Ba 0.0000 0.0000 0.3134
Ba3 Ba 0.3333 0.6667 0.4927
Ba4 Ba 0.3333 0.6667 0.8140
Ba5 Ba 0.6667 0.3333 0.1559
Ba6 Ba 0.6667 0.3333 0.6501
Ti1 Ti 0.0000 0.0000 0.7508
Ti2 Ti 0.6667 0.3333 0.4010
Ti3 Ti 0.6667 0.3333 0.9111
Fe1 Fe 0.0000 0.0000 0.5593
Fe2 Fe 0.3333 0.6667 0.0640
Fe3 Fe 0.3333 0.6667 0.2435
O1 O 0.0034 0.5017 0.3198
O2 O 0.0036 0.5018 0.9853
O3 O 0.1479 0.2957 0.6462
O4 O 0.1885 0.3769 0.1531
O5 O 0.3279 0.1640 0.4827
O6 O 0.3352 0.1676 0.8214
```

Calculated values
Uncorrected formation energy, eV/atom: -2.56
DFT total energy, eV per atom: -7.871


# 2
## KLi3Br (GGA-PBEsol)

Data for crystalline KLi3Br at its relaxed geometry.

Geometry as CIF:
```
data_KLi3Br
_cell_length_a 5.396
_cell_length_b 5.396
_cell_length_c 5.396
_cell_angle_alpha 90.00
_cell_angle_beta 90.00
_cell_angle_gamma 90.00
_space_group_name_H-M_alt 'P m -3 m'
_space_group_IT_number 221
_space_group_name_Hall '-P 4 2 3'
loop_
_atom_site_label
_atom_site_type_symbol
_atom_site_fract_x
_atom_site_fract_y
_atom_site_fract_z
K1 K 0.000 0.000 0.000
Li1 Li 0.000 0.500 0.500
Br1 Br 0.500 0.500 0.500
```

Calculated values
Uncorrected formation energy, eV/atom: -0.34
DFT total energy, eV per atom: -2.117


# 3
## Sr2Sb2Pb (GGA-PBEsol)

Data for crystalline Sr2Sb2Pb at its relaxed geometry.

Geometry as CIF:
```
data_Sr2Sb2Pb
_cell_length_a 9.219
_cell_length_b 9.219
_cell_length_c 3.841
_cell_angle_alpha 90.00
_cell_angle_beta 90.00
_cell_angle_gamma 90.00
_space_group_name_H-M_alt 'P 4/m b m'
_space_group_IT_number 127
_space_group_name_Hall '-P 4 2ab'
loop_
_atom_site_label
_atom_site_type_symbol
_atom_site_fract_x
_atom_site_fract_y
_atom_site_fract_z
Sr1 Sr 0.140 0.360 0.000
Sb1 Sb 0.161 0.661 0.500
Pb1 Pb 0.000 0.000 0.500
```

Calculated values
Uncorrected formation energy, eV/atom: -0.68
DFT total energy, eV per atom: -4.043